# 1
Sr2LaZn: relaxed, PBEsol.

Lattice parameters (Å, degrees): 3.8173 3.8173 10.0017 90.00 90.00 90.00
Fractional coordinates of all 4 atoms:
1 Sr 0.0000 0.0000 0.0000
2 Sr 0.5000 0.5000 0.3385
3 La 0.5000 0.5000 0.6986
4 Zn 0.0000 0.0000 0.5370

Results
Formation energy from the elements (kJ/mol of formula units): -25.6
Density of states at the Fermi level (states/eV/atom): 0.95
Total energy (eV/atom): -2.719
Space group: No. 99

# 2
SrLa2Zn: relaxed, PBEsol.

Lattice parameters (Å, degrees): 3.7560 5.6188 5.8310 90.00 90.00 90.00
Fractional coordinates of all 4 atoms:
1 Sr 0.0000 0.0000 0.0000
2 La 0.0000 0.5000 0.5000
3 La 0.5000 0.0000 0.5000
4 Zn 0.5000 0.5000 0.0000

Results
Formation energy from the elements (kJ/mol of formula units): 45.5
Density of states at the Fermi level (states/eV/atom): 1.18
Total energy (eV/atom): -3.411
Space group: No. 47